[1]
CsGeMo2W | GGA-PBE | relaxed

Summary:
The uncorrected energy comes out at -22.7 eV per cell. The space-group type is No. 123. The calculation puts the formation energy at 17.383 eV/f.u.

abc: 4.9610 5.0093 4.9610
angles: 90.00 90.00 90.00
Last column: magnetic moment on the atom in μB.
Sites, in units of the cell vectors:
1 W 0.0000 0.5000 0.0000  -1.14
2 Mo 0.5000 0.0000 0.0000  1.20
3 Mo 0.0000 0.0000 0.5000  1.07
4 Cs 0.0000 0.0000 0.0000  -0.02
5 Ge 0.5000 0.5000 0.5000  -0.03


[2]
Cs2GeN | GGA-PBE | relaxed

Summary:
The uncorrected energy comes out at -9.5 eV per cell. As for the uncorrected formation energy: 5.2 eV/f.u. The space-group type is No. 225.

abc: 5.7192 5.7192 5.7192
angles: 60.00 60.00 60.00
Sites, in units of the cell vectors:
1 Ge 0.5000 0.5000 0.5000
2 Cs 0.2500 0.2500 0.2500
3 Cs 0.7500 0.7500 0.7500
4 N 0.0000 0.0000 0.0000


[3]
CsGeN3 | GGA-PBE | relaxed

Summary:
The uncorrected energy comes out at -23.0 eV per cell. As for the uncorrected formation energy: 7.5 eV/f.u. The space-group type is No. 221.

abc: 4.2269 4.2269 4.2269
angles: 90.00 90.00 90.00
Last column: magnetic moment on the atom in μB.
Sites, in units of the cell vectors:
1 Cs 0.5000 0.5000 0.5000  0.17
2 N 0.5000 0.0000 0.0000  0.91
3 N 0.0000 0.0000 0.5000  0.91
4 N 0.0000 0.5000 0.0000  0.91
5 Ge 0.0000 0.0000 0.0000  -0.10


[4]
CsGeN3 | GGA-PBE | relaxed

Summary:
The uncorrected energy comes out at -15.4 eV per cell. As for the uncorrected formation energy: 15.0 eV/f.u. The space-group type is No. 221.

abc: 4.3207 4.3207 4.3207
angles: 90.00 90.00 90.00
Sites, in units of the cell vectors:
1 N 0.0000 0.0000 0.5000
2 N 0.0000 0.5000 0.0000
3 N 0.5000 0.0000 0.0000
4 Ge 0.5000 0.5000 0.5000
5 Cs 0.0000 0.0000 0.0000